No. 1
VASP calculation (PBE-GGA) on a geometry-optimized LiFe structure.

Summary:
**Crystal system**: orthorhombic
**Electronic total energy**: -4.793 eV/atom
**Total magnetization**: 2.2 μB/f.u.

The structure in CIF format:
```
data_LiFe
_chemical_formula_sum 'Li2 Fe2'
_cell_length_a 4.2142
_cell_length_b 2.4016
_cell_length_c 4.8960
_cell_angle_alpha 90.00
_cell_angle_beta 90.00
_cell_angle_gamma 90.00
_symmetry_space_group_name_H-M 'P 1'
_symmetry_Int_Tables_number 1
loop_
_symmetry_equiv_pos_as_xyz
'x,y,z'
loop_
_atom_site_label
_atom_site_type_symbol
_atom_site_fract_x
_atom_site_fract_y
_atom_site_fract_z
Li1 Li 0.2500 0.0000 0.1327
Li2 Li 0.7500 0.0000 0.8673
Fe1 Fe 0.2500 0.5000 0.6095
Fe2 Fe 0.7500 0.5000 0.3905
```

=====

No. 2
VASP calculation (PBE-GGA) on a geometry-optimized ZnCu2GeS4 structure.

Summary:
**E above lowest polymorph**: 7 meV per atom
**Crystal system**: orthorhombic

The structure in CIF format:
```
data_ZnCu2GeS4
_chemical_formula_sum 'Zn2 Cu4 Ge2 S8'
_cell_length_a 7.4811
_cell_length_b 6.5340
_cell_length_c 6.2090
_cell_angle_alpha 90.00
_cell_angle_beta 90.00
_cell_angle_gamma 90.00
_symmetry_space_group_name_H-M 'P 1'
_symmetry_Int_Tables_number 1
loop_
_symmetry_equiv_pos_as_xyz
'x,y,z'
loop_
_atom_site_label
_atom_site_type_symbol
_atom_site_fract_x
_atom_site_fract_y
_atom_site_fract_z
Zn1 Zn 0.0000 0.1542 0.0000
Zn2 Zn 0.5000 0.8458 0.5000
Cu1 Cu 0.2477 0.3281 0.4913
Cu2 Cu 0.2523 0.6719 0.9913
Cu3 Cu 0.7477 0.6719 0.9913
Cu4 Cu 0.7523 0.3281 0.4913
Ge1 Ge 0.0000 0.8305 0.4999
Ge2 Ge 0.5000 0.1695 0.9999
S1 S 0.0000 0.1579 0.6188
S2 S 0.0000 0.8198 0.1329
S3 S 0.2450 0.6597 0.6228
S4 S 0.2550 0.3403 0.1228
S5 S 0.5000 0.1802 0.6329
S6 S 0.5000 0.8421 0.1188
S7 S 0.7450 0.3403 0.1228
S8 S 0.7550 0.6597 0.6228
```